No. 1
DFT (PBE) results for a relaxed Li3BePCO7 crystal.

Cell and atoms, written as POSCAR:
```
Li3BePCO7
1.0
7.071 0.000 0.000
0.000 4.738 0.019
0.000 0.052 8.151
O Be Li C P
14 2 6 2 2
direct
0.734 0.933 0.460
0.889 0.947 0.744
0.545 0.928 0.723
0.045 0.072 0.277
0.234 0.067 0.540
0.743 0.389 0.256
0.867 0.442 0.004
0.221 0.622 0.374
0.389 0.053 0.256
0.721 0.378 0.626
0.243 0.611 0.744
0.756 0.822 0.135
0.256 0.178 0.865
0.367 0.558 0.996
0.818 0.050 0.290
0.318 0.950 0.710
0.756 0.608 0.808
0.471 0.935 0.044
0.971 0.065 0.956
0.608 0.567 0.440
0.108 0.433 0.560
0.256 0.392 0.192
0.291 0.453 0.868
0.791 0.547 0.132
0.725 0.055 0.638
0.225 0.945 0.362
```

Properties
Magnetic moment = 0.00 μB per formula unit
Relative energy among the computed polymorphs = 0 meV per atom
Symmetry = P2_1, No. 4


No. 2
DFT (PBE) results for a relaxed Cs2KPbAu crystal.

Cell and atoms, written as POSCAR:
```
Cs2KPbAu
1.0
7.011 0.000 0.000
0.000 7.011 0.000
0.000 0.000 5.685
Cs Pb K Au
2 1 1 1
direct
0.500 0.000 0.000
0.000 0.500 0.000
0.000 0.000 0.500
0.500 0.500 0.500
0.000 0.000 0.000
```

Properties
Magnetic moment = 0.00 μB per formula unit
Formation energy = -0.35 eV/f.u.
Symmetry = P4/mmm, No. 123


No. 3
DFT (PBE) results for a relaxed Mn4InSi crystal.

Cell and atoms, written as POSCAR:
```
Mn4InSi
1.0
-4.273 -2.085 -0.793
-3.850 2.711 -1.034
-1.865 -0.059 -4.445
Mn Si In
4 1 1
direct
0.375 0.375 0.874
0.375 0.375 0.375
0.874 0.375 0.375
0.375 0.874 0.375
0.750 0.750 0.750
0.000 0.000 0.000
```

Properties
Magnetic moment = 4.53 μB per formula unit
DFT total energy = -42.890 eV per cell
Symmetry = F-43m, No. 216


No. 4
DFT (PBE) results for a relaxed MnWAu2 crystal.

Cell and atoms, written as POSCAR:
```
MnWAu2
1.0
-4.080 -2.501 -1.080
2.546 -4.192 0.090
-0.556 -0.279 2.744
W Au Mn
1 2 1
direct
0.000 0.500 0.500
0.500 0.500 0.000
0.000 0.000 0.000
0.500 0.000 0.500
```

Properties
Magnetic moment = 3.56 μB per formula unit
Relative energy among the computed polymorphs = 209 meV per atom
Formation energy = 1.60 eV/f.u.
Symmetry = P4/mmm, No. 123


No. 5
DFT (PBE) results for a relaxed Y3Cu2Rh crystal.

Cell and atoms, written as POSCAR:
```
Y3Cu2Rh
1.0
-2.368 2.542 -0.183
-0.539 -0.744 -3.355
-7.449 -6.745 2.694
Rh Y Cu
1 3 2
direct
0.500 0.500 0.500
0.000 0.000 0.339
0.000 0.000 0.661
0.000 0.000 0.000
0.500 0.500 0.833
0.500 0.500 0.167
```

Properties
Magnetic moment = 0.00 μB per formula unit
Relative energy among the computed polymorphs = 16 meV per atom
Formation energy = -2.64 eV/f.u.
Symmetry = P4/mmm, No. 123


No. 6
DFT (PBE) results for a relaxed LaGdCu2 crystal.

Cell and atoms, written as POSCAR:
```
LaGdCu2
1.0
-2.216 -2.742 0.578
-0.007 -0.731 -3.496
5.639 -4.368 0.901
Cu La Gd
2 1 1
direct
0.000 0.000 0.230
0.000 0.000 0.770
0.500 0.500 0.500
0.500 0.500 0.000
```

Properties
Magnetic moment = 7.14 μB per formula unit
Relative energy among the computed polymorphs = 0 meV per atom
Formation energy = -0.70 eV/f.u.
Symmetry = P4/mmm, No. 123


No. 7
DFT (PBE) results for a relaxed SiS crystal.

Cell and atoms, written as POSCAR:
```
SiS
1.0
-4.321 -0.240 3.428
1.214 -7.725 0.990
6.727 1.024 -0.254
S Si
4 4
direct
0.462 0.346 0.854
0.462 0.846 0.354
0.962 0.654 0.354
0.962 0.154 0.854
0.137 0.914 0.415
0.637 0.586 0.415
0.137 0.414 0.915
0.637 0.086 0.915
```

Properties
Magnetic moment = 0.00 μB per formula unit
DFT total energy = -39.992 eV per cell
Symmetry = Cc, No. 9


No. 8
DFT (PBE) results for a relaxed KTaIn2 crystal.

Cell and atoms, written as POSCAR:
```
KTaIn2
1.0
6.034 0.019 0.049
5.275 2.930 0.049
1.142 0.298 5.575
K In Ta
1 2 1
direct
0.487 0.487 0.570
0.010 0.010 0.075
0.736 0.736 0.692
0.267 0.267 0.163
```

Properties
Magnetic moment = 0.00 μB per formula unit
Relative energy among the computed polymorphs = 314 meV per atom
Formation energy = 2.20 eV/f.u.
Symmetry = Cm, No. 8


No. 9
DFT (PBE) results for a relaxed Tb4Pm4Tm crystal.

Cell and atoms, written as POSCAR:
```
Tb4Pm4Tm
1.0
5.443 0.000 1.286
1.990 7.766 3.740
0.871 2.909 8.472
Tb Pm Tm
4 4 1
direct
0.372 0.570 0.686
0.628 0.430 0.314
0.073 0.231 0.622
0.927 0.769 0.378
0.868 0.303 0.961
0.718 0.852 0.711
0.132 0.697 0.039
0.282 0.148 0.289
0.500 0.000 0.000
```

Properties
Magnetic moment = 0.00 μB per formula unit
Relative energy among the computed polymorphs = 86 meV per atom
Formation energy = 0.95 eV/f.u.
Symmetry = C2/m, No. 12


No. 10
DFT (PBE) results for a relaxed VTcBi2 crystal.

Cell and atoms, written as POSCAR:
```
VTcBi2
1.0
-2.902 -3.614 4.508
-1.371 -4.470 -4.466
3.105 -6.806 1.179
Bi Tc V
4 2 2
direct
0.110 0.625 0.250
0.640 0.125 0.250
0.875 0.890 0.750
0.375 0.360 0.750
0.000 0.000 0.000
0.750 0.250 0.500
0.500 0.500 0.000
0.250 0.750 0.500
```

Properties
Magnetic moment = 4.40 μB per formula unit
Relative energy among the computed polymorphs = 604 meV per atom
Formation energy = 4.43 eV/f.u.
Symmetry = I-42d, No. 122


No. 11
DFT (PBE) results for a relaxed ReAs2Cl crystal.

Cell and atoms, written as POSCAR:
```
ReAs2Cl
1.0
-2.767 0.447 -1.404
-1.479 -1.149 2.549
-0.908 6.523 3.866
Cl As Re
1 2 1
direct
0.500 0.250 0.250
0.000 0.180 0.945
0.000 0.320 0.555
0.500 0.750 0.750
```

Properties
Magnetic moment = 0.00 μB per formula unit
Relative energy among the computed polymorphs = 24 meV per atom
Symmetry = P2/m, No. 10


No. 12
DFT (PBE) results for a relaxed IrPtSe2 crystal.

Cell and atoms, written as POSCAR:
```
IrPtSe2
1.0
3.486 0.000 0.000
0.000 3.488 0.000
0.000 0.000 6.350
Pt Se Ir
1 2 1
direct
0.500 0.500 0.752
0.500 0.500 0.354
0.000 0.000 0.891
0.000 0.000 0.503
```

Properties
Magnetic moment = 0.00 μB per formula unit
DFT total energy = -21.525 eV per cell
Symmetry = P4mm, No. 99


No. 13
DFT (PBE) results for a relaxed LiPmHo2 crystal.

Cell and atoms, written as POSCAR:
```
LiPmHo2
1.0
-1.723 2.739 -1.666
-1.221 -2.309 -2.534
-7.120 -1.539 4.835
Pm Li Ho
1 1 2
direct
0.500 0.500 0.500
0.500 0.500 0.000
0.000 0.000 0.784
0.000 0.000 0.216
```

Properties
Magnetic moment = 0.00 μB per formula unit
Relative energy among the computed polymorphs = 0 meV per atom
Formation energy = 0.31 eV/f.u.
Symmetry = P4/mmm, No. 123


No. 14
DFT (PBE) results for a relaxed Sr2LaPd2 crystal.

Cell and atoms, written as POSCAR:
```
Sr2LaPd2
1.0
-3.280 -2.619 -2.066
-0.376 -2.589 3.879
-6.669 1.610 3.249
Pd La Sr
2 1 2
direct
0.403 0.403 0.194
0.597 0.597 0.806
0.000 0.000 0.000
0.750 0.250 0.500
0.250 0.750 0.500
```

Properties
Magnetic moment = 0.00 μB per formula unit
Relative energy among the computed polymorphs = 237 meV per atom
Formation energy = -1.43 eV/f.u.
Symmetry = I4/mmm, No. 139


No. 15
DFT (PBE) results for a relaxed V3BrCl7 crystal.

Cell and atoms, written as POSCAR:
```
V3BrCl7
1.0
6.380 0.000 3.391
3.100 6.262 1.865
0.197 0.208 7.327
Cl Br V
7 1 3
direct
0.843 0.444 0.404
0.310 0.444 0.404
0.843 0.910 0.403
0.300 0.596 0.805
0.832 0.063 0.805
0.342 0.934 0.383
0.300 0.063 0.805
0.789 0.570 0.851
0.073 0.754 0.603
0.073 0.251 0.603
0.570 0.754 0.603
```

Properties
Magnetic moment = 7.00 μB per formula unit
DFT total energy = -54.892 eV per cell
Symmetry = Cm, No. 8


No. 16
DFT (PBE) results for a relaxed BaTl2As2 crystal.

Cell and atoms, written as POSCAR:
```
BaTl2As2
1.0
4.790 0.000 0.000
0.000 4.790 0.000
2.395 2.395 6.750
As Tl Ba
2 2 1
direct
0.592 0.592 0.815
0.408 0.408 0.185
0.750 0.250 0.500
0.250 0.750 0.500
0.000 0.000 0.000
```

Properties
Magnetic moment = 0.00 μB per formula unit
Formation energy = -2.25 eV/f.u.
Symmetry = I4/mmm, No. 139


No. 17
DFT (PBE) results for a relaxed Ba2NaLiI6 crystal.

Cell and atoms, written as POSCAR:
```
Ba2NaLiI6
1.0
-5.223 -3.631 5.431
-4.641 -6.536 -2.390
2.026 -7.924 3.094
I Li Na Ba
6 1 1 2
direct
0.578 0.195 0.257
0.094 0.455 0.770
0.681 0.094 0.770
0.195 0.970 0.257
0.455 0.681 0.770
0.970 0.578 0.257
0.322 0.322 0.033
0.820 0.820 0.539
0.022 0.022 0.933
0.524 0.524 0.429
```

Properties
Magnetic moment = 0.00 μB per formula unit
DFT total energy = -31.659 eV per cell
Symmetry = R3, No. 146


No. 18
DFT (PBE) results for a relaxed InFe2Au crystal.

Cell and atoms, written as POSCAR:
```
InFe2Au
1.0
9.014 -0.007 -0.004
8.546 2.865 -0.004
8.546 1.391 2.505
Fe In Au
2 1 1
direct
0.002 0.002 0.002
0.498 0.498 0.498
0.250 0.250 0.250
0.750 0.750 0.750
```

Properties
Magnetic moment = 5.34 μB per formula unit
Formation energy = 1.55 eV/f.u.
Symmetry = R-3m, No. 166


No. 19
DFT (PBE) results for a relaxed YNi2I crystal.

Cell and atoms, written as POSCAR:
```
YNi2I
1.0
4.528 0.000 0.000
0.000 4.528 0.000
2.264 2.264 8.417
Ni Y I
4 2 2
direct
0.992 0.625 0.250
0.758 0.125 0.250
0.875 0.008 0.750
0.375 0.242 0.750
0.250 0.750 0.500
0.500 0.500 0.000
0.000 0.000 0.000
0.750 0.250 0.500
```

Properties
Magnetic moment = 0.00 μB per formula unit
Relative energy among the computed polymorphs = 64 meV per atom
Symmetry = I-42d, No. 122


No. 20
DFT (PBE) results for a relaxed Y5Be3 crystal.

Cell and atoms, written as POSCAR:
```
Y5Be3
1.0
8.166 0.002 0.000
-4.086 7.072 0.000
0.000 0.000 6.624
Y Be
10 6
direct
0.333 0.667 0.500
0.000 0.754 0.750
0.754 0.754 0.250
0.667 0.333 0.500
0.000 0.246 0.250
0.333 0.667 0.000
0.667 0.333 0.000
0.246 0.246 0.750
0.754 0.000 0.750
0.246 0.000 0.250
0.000 0.405 0.750
0.595 0.595 0.750
0.000 0.595 0.250
0.405 0.000 0.750
0.405 0.405 0.250
0.595 0.000 0.250
```

Properties
Magnetic moment = 0.00 μB per formula unit
Relative energy among the computed polymorphs = 0 meV per atom
Formation energy = 1.26 eV/f.u.
Symmetry = P6_3/mcm, No. 193


No. 21
DFT (PBE) results for a relaxed Tm2Sc3Cd2 crystal.

Cell and atoms, written as POSCAR:
```
Tm2Sc3Cd2
1.0
4.845 0.000 0.643
0.000 3.235 0.000
0.984 0.000 11.159
Sc Tm Cd
3 2 2
direct
0.144 0.000 0.712
0.000 0.000 0.000
0.856 0.000 0.288
0.290 0.500 0.421
0.710 0.500 0.579
0.432 0.500 0.137
0.568 0.500 0.863
```

Properties
Magnetic moment = 0.21 μB per formula unit
Formation energy = -0.19 eV/f.u.
Symmetry = Cmmm, No. 65


No. 22
DFT (PBE) results for a relaxed Li6Ti2O7 crystal.

Cell and atoms, written as POSCAR:
```
Li6Ti2O7
1.0
-5.785 -0.164 -0.538
-3.307 -1.536 4.527
-2.277 8.854 3.514
Ti O Li
4 14 12
direct
0.574 0.794 0.130
0.206 0.426 0.370
0.426 0.206 0.870
0.794 0.574 0.630
0.859 0.644 0.248
0.260 0.495 0.974
0.001 0.272 0.499
0.644 0.859 0.748
0.728 0.999 0.001
0.141 0.356 0.752
0.651 0.349 0.750
0.349 0.651 0.250
0.495 0.260 0.474
0.356 0.141 0.252
0.999 0.728 0.501
0.272 0.001 0.999
0.505 0.740 0.526
0.740 0.505 0.026
0.922 0.207 0.902
0.078 0.793 0.098
0.078 0.329 0.115
0.793 0.078 0.598
0.672 0.471 0.389
0.471 0.672 0.889
0.529 0.328 0.111
0.671 0.922 0.385
0.922 0.671 0.885
0.207 0.922 0.402
0.329 0.078 0.615
0.328 0.529 0.611
```

Properties
Magnetic moment = 0.00 μB per formula unit
Relative energy among the computed polymorphs = 0 meV per atom
Symmetry = C2/c, No. 15


No. 23
DFT (PBE) results for a relaxed NpZnIr crystal.

Cell and atoms, written as POSCAR:
```
NpZnIr
1.0
3.994 0.000 0.000
0.000 6.862 0.000
0.000 0.000 8.254
Zn Ir Np
4 4 4
direct
0.250 0.872 0.442
0.250 0.372 0.058
0.750 0.128 0.558
0.750 0.628 0.942
0.750 0.741 0.632
0.250 0.759 0.132
0.750 0.241 0.868
0.250 0.259 0.368
0.750 0.545 0.316
0.250 0.955 0.816
0.250 0.455 0.684
0.750 0.045 0.184
```

Properties
Magnetic moment = 3.54 μB per formula unit
Formation energy = -0.90 eV/f.u.
Symmetry = Pnma, No. 62


No. 24
DFT (PBE) results for a relaxed Ho3BeGa2Ru3 crystal.

Cell and atoms, written as POSCAR:
```
Ho3BeGa2Ru3
1.0
3.612 0.000 0.000
0.000 7.145 0.000
0.000 -3.572 6.188
Ru Ho Be Ga
3 3 1 2
direct
0.500 0.241 0.241
0.500 0.759 0.000
0.500 0.000 0.759
0.000 0.369 0.000
0.000 0.631 0.631
0.000 0.000 0.369
0.000 0.000 0.000
0.500 0.667 0.333
0.500 0.333 0.667
```

Properties
Magnetic moment = 0.00 μB per formula unit
Formation energy = -4.03 eV/f.u.
Symmetry = P-62m, No. 189


Number 1: calculated density 2.25 Mg/m³. Number 2: calculated density 4.21 Mg/m³. Number 3: calculated density 7.60 Mg/m³. Number 4: calculated density 15.52 Mg/m³. Number 5: calculated density 6.55 Mg/m³. Number 6: calculated density 7.66 Mg/m³. Number 7: calculated density 2.26 Mg/m³. Number 8: calculated density 7.63 Mg/m³. Number 9: calculated density 7.72 Mg/m³. Number 10: calculated density 7.46 Mg/m³. Number 11: calculated density 8.24 Mg/m³. Number 12: calculated density 11.73 Mg/m³. Number 13: calculated density 6.91 Mg/m³. Number 14: calculated density 5.85 Mg/m³. Number 15: calculated density 2.77 Mg/m³. Number 16: calculated density 7.46 Mg/m³. Number 17: calculated density 4.01 Mg/m³. Number 18: calculated density 10.83 Mg/m³. Number 19: calculated density 6.41 Mg/m³. Number 20: calculated density 4.09 Mg/m³. Number 21: calculated density 6.70 Mg/m³. Number 22: calculated density 2.95 Mg/m³. Number 23: calculated density 14.52 Mg/m³. Number 24: calculated density 9.84 Mg/m³.